TcPS2Br PBE optimized geometry; energy relative to the elements, uncorrected = 1686 meV per atom; DOS at the Fermi energy = 2.99 states/eV/f.u.; density = 4.07 Mg/m³; energy above the most stable polymorph in this dataset = 1.345 eV/atom; VASP energy = -3.454 eV per atom
1.0
-4.5205 1.3568 -0.3928
-1.3416 -4.5363 -0.2287
-0.4633 -0.1122 4.9443
P S Tc Br
1 2 1 1
direct
0.0000 0.0000 0.5000
0.0000 0.5000 0.0000
0.5000 0.0000 0.0000
0.5000 0.5000 0.5000
0.0000 0.0000 0.0000

TcP2SBr PBE optimized geometry; energy relative to the elements, uncorrected = 412 meV per atom; DOS at the Fermi energy = 4.90 states/eV/f.u.; density = 4.47 Mg/m³; energy above the most stable polymorph in this dataset = 0.000 eV/atom; VASP energy = -4.985 eV per atom
1.0
-0.2893 4.4628 -1.5055
-2.2454 1.1952 3.9745
3.9815 0.9233 1.9717
P S Tc Br
2 1 1 1
direct
0.0000 0.5000 0.0000
0.5000 0.0000 0.0000
0.0000 0.0000 0.5000
0.0000 0.0000 0.0000
0.5000 0.5000 0.5000

TcPS2Br PBE optimized geometry; energy relative to the elements, uncorrected = 818 meV per atom; DOS at the Fermi energy = 4.53 states/eV/f.u.; density = 4.38 Mg/m³; energy above the most stable polymorph in this dataset = 0.476 eV/atom; VASP energy = -4.323 eV per atom
1.0
-1.2297 4.1906 0.9361
-0.6696 -1.3083 4.9775
4.2550 1.0586 0.8506
P S Tc Br
1 2 1 1
direct
0.0000 0.0000 0.0000
0.0000 0.0000 0.5000
0.5000 0.0000 0.0000
0.0000 0.5000 0.0000
0.5000 0.5000 0.5000

TcP2SBr PBE optimized geometry; energy relative to the elements, uncorrected = 1803 meV per atom; DOS at the Fermi energy = 2.86 states/eV/f.u.; density = 4.14 Mg/m³; energy above the most stable polymorph in this dataset = 1.391 eV/atom; VASP energy = -3.594 eV per atom
1.0
4.8457 0.0000 0.0000
0.0000 4.8457 0.0000
0.0000 0.0000 4.6420
P S Tc Br
2 1 1 1
direct
0.0000 0.5000 0.0000
0.5000 0.0000 0.0000
0.0000 0.0000 0.5000
0.5000 0.5000 0.5000
0.0000 0.0000 0.0000

TePS4Br PBE optimized geometry; energy relative to the elements, uncorrected = -48 meV per atom; density = 2.16 Mg/m³; VASP energy = -3.867 eV per atom
1.0
-0.8726 7.0664 -2.4403
-7.0510 -2.4087 -1.0638
-4.7466 4.2996 8.2910
Te P S Br
2 2 8 2
direct
0.2278 0.2278 0.9925
0.7722 0.7722 0.0075
0.6298 0.6298 0.7614
0.3702 0.3702 0.2386
0.2778 0.2778 0.4266
0.7222 0.7222 0.5734
0.1799 0.4655 0.1297
0.5854 0.5854 0.2307
0.5345 0.8201 0.8703
0.4655 0.1799 0.1297
0.4146 0.4146 0.7693
0.8201 0.5345 0.8703
0.9375 0.9375 0.1997
0.0625 0.0625 0.8003

TePS2Br PBE optimized geometry; energy relative to the elements, uncorrected = 1202 meV per atom; DOS at the Fermi energy = 4.81 states/eV/f.u.; density = 4.21 Mg/m³; energy above the most stable polymorph in this dataset = 0.268 eV/atom; VASP energy = -2.494 eV per atom
1.0
-1.3687 -4.4905 0.2347
2.9478 -0.7108 3.5914
-3.9017 1.3709 3.4739
P S Te Br
1 2 1 1
direct
0.0000 0.0000 0.5000
0.0000 0.5000 0.0000
0.5000 0.0000 0.0000
0.5000 0.5000 0.5000
0.0000 0.0000 0.0000

TePS2Br PBE optimized geometry; energy relative to the elements, uncorrected = 934 meV per atom; DOS at the Fermi energy = 5.24 states/eV/f.u.; density = 3.73 Mg/m³; energy above the most stable polymorph in this dataset = 0.000 eV/atom; VASP energy = -2.762 eV per atom
1.0
-2.6730 -2.7642 3.1572
3.2315 -3.7439 -0.5420
2.9266 1.9236 4.1619
P S Te Br
1 2 1 1
direct
0.0000 0.0000 0.5000
0.0000 0.5000 0.0000
0.5000 0.0000 0.0000
0.0000 0.0000 0.0000
0.5000 0.5000 0.5000

ThPS4Br PBE optimized geometry; energy relative to the elements, uncorrected = -937 meV per atom; density = 4.11 Mg/m³; VASP energy = -5.367 eV per atom
1.0
-2.0768 5.8398 3.5097
-5.8929 2.0357 -3.4444
-5.6447 -3.0031 4.7404
Th P S Br
2 2 8 2
direct
0.2205 0.2205 0.8730
0.7795 0.7795 0.1270
0.6401 0.6401 0.7260
0.3599 0.3599 0.2740
0.2298 0.2298 0.4996
0.7702 0.7702 0.5004
0.1513 0.5021 0.1086
0.5322 0.5322 0.3041
0.4979 0.8487 0.8914
0.5021 0.1513 0.1086
0.4678 0.4678 0.6959
0.8487 0.4979 0.8914
0.0247 0.0247 0.2066
0.9753 0.9753 0.7934